Computed, not measured: an optimized crystal structure of HfTiOs3 at the PBE-GGA level of DFT.

Lattice parameters (Å, degrees): 4.5171 4.5171 4.5171 90.00 90.00 90.00
With the nearest neighbours (Å) after each atom.
Fractional positions:
Hf1 0.0000 0.0000 0.0000  12 Os 3.19
Ti1 0.5000 0.5000 0.5000  6 Os 2.26
Os1 0.0000 0.5000 0.5000  2 Ti 2.26
Os2 0.5000 0.0000 0.5000  2 Ti 2.26
Os3 0.5000 0.5000 0.0000  2 Ti 2.26

* density of states at the Fermi level: 2.3 states/eV/f.u.
* E above lowest polymorph: 0 meV/atom
* density: 14.4 g cm⁻³